Mo2RhC: relaxed, PBE.

Summary:
- E_form: -0.19 eV per formula unit
- Density: 9.72 g/cm3
- E_tot: -9.607 eV/atom

Unit cell a=2.9847 b=2.9847 c=20.3857 alpha=90.00 beta=90.00 gamma=120.00
Last column: nearest neighbours and their distance in Å.
Space group R3m (No. 160, hexagonal axes)
Unique sites:
Mo 0.0000 0.0000 0.0000  3 C 2.12
Mo 0.0000 0.0000 0.2139  3 C 2.10
Rh 0.0000 0.0000 0.4402  6 Mo 2.78, 6 Rh 2.98
C 0.0000 0.0000 0.6057  6 Mo 2.10-2.12